# 1
First-principles (PBE) data for a relaxed structure of PmH6Ir, as listed in OQMD via LeMat-Bulk.

Computed properties:
- symmetry = C2/m, No. 12
- calculated total energy (eV for the cell shown) = -36.77
- total magnetic moment (μB/f.u.) = 0.000

Lattice parameters (Å, degrees): 4.190 4.190 4.187 98.70 98.70 98.56
Fractional coordinates of all 8 atoms:
Pm1 0.000 0.000 0.000
H1 0.210 0.572 0.210
H2 0.211 0.211 0.573
H3 0.428 0.790 0.790
H4 0.572 0.210 0.210
H5 0.789 0.789 0.427
H6 0.790 0.428 0.790
Ir1 0.500 0.500 0.500

# 2
First-principles (PBE) data for a relaxed structure of PuH6Ir, as listed in OQMD via LeMat-Bulk.

Computed properties:
- symmetry = R-3m, No. 166
- calculated total energy (eV for the cell shown) = -45.77
- total magnetic moment (μB/f.u.) = 4.999

Lattice parameters (Å, degrees): 4.632 4.632 4.632 57.60 57.60 57.60
Fractional coordinates of all 8 atoms:
Pu1 0.000 0.000 0.000
H1 0.058 0.601 0.601
H2 0.399 0.399 0.942
H3 0.399 0.942 0.399
H4 0.601 0.058 0.601
H5 0.601 0.601 0.058
H6 0.942 0.399 0.399
Ir1 0.500 0.500 0.500

# 3
First-principles (PBE) data for a relaxed structure of Rb3H6Ir, as listed in OQMD via LeMat-Bulk.

Computed properties:
- symmetry = Fm-3m, No. 225
- calculated total energy (eV for the cell shown) = -35.38
- total magnetic moment (μB/f.u.) = 0.000

Lattice parameters (Å, degrees): 6.102 6.102 6.102 60.00 60.00 60.00
Fractional coordinates of all 10 atoms:
Rb1 0.000 0.000 0.000
Rb2 0.250 0.250 0.250
Rb3 0.750 0.750 0.750
H1 0.304 0.304 0.696
H2 0.304 0.696 0.304
H3 0.304 0.696 0.696
H4 0.696 0.304 0.304
H5 0.696 0.304 0.696
H6 0.696 0.696 0.304
Ir1 0.500 0.500 0.500

# 4
First-principles (PBE) data for a relaxed structure of RbH4Ir, as listed in OQMD via LeMat-Bulk.

Computed properties:
- symmetry = C2/m, No. 12
- calculated total energy (eV for the cell shown) = -48.60
- total magnetic moment (μB/f.u.) = 0.001

Lattice parameters (Å, degrees): 6.951 6.951 4.667 108.53 108.53 50.23
Fractional coordinates of all 12 atoms:
Rb1 0.169 0.169 0.263
Rb2 0.831 0.831 0.737
H1 0.205 0.576 0.360
H2 0.287 0.713 0.000
H3 0.324 0.324 0.924
H4 0.424 0.795 0.640
H5 0.576 0.205 0.360
H6 0.676 0.676 0.076
H7 0.713 0.287 0.000
H8 0.795 0.424 0.640
Ir1 0.445 0.445 0.193
Ir2 0.555 0.555 0.807

# 5
First-principles (PBE) data for a relaxed structure of Rb2TlH6Ir, as listed in OQMD via LeMat-Bulk.

Computed properties:
- symmetry = Fm-3m, No. 225
- calculated total energy (eV for the cell shown) = -35.62
- total magnetic moment (μB/f.u.) = 0.000

Lattice parameters (Å, degrees): 5.946 5.946 5.946 60.00 60.00 60.00
Fractional coordinates of all 10 atoms:
Rb1 0.250 0.250 0.250
Rb2 0.750 0.750 0.750
Tl1 0.000 0.000 0.000
H1 0.298 0.298 0.702
H2 0.298 0.702 0.298
H3 0.298 0.702 0.702
H4 0.702 0.298 0.298
H5 0.702 0.298 0.702
H6 0.702 0.702 0.298
Ir1 0.500 0.500 0.500

# 6
First-principles (PBE) data for a relaxed structure of ScHIr3, as listed in OQMD via LeMat-Bulk.

Computed properties:
- symmetry = Ima2, No. 46
- calculated total energy (eV for the cell shown) = -77.45
- total magnetic moment (μB/f.u.) = 0.000

Lattice parameters (Å, degrees): 5.617 5.617 5.617 91.29 119.13 119.38
Fractional coordinates of all 10 atoms:
Sc1 0.018 0.250 0.268
Sc2 0.982 0.750 0.732
H1 0.499 0.984 0.016
H2 0.968 0.484 0.984
Ir1 0.001 0.250 0.750
Ir2 0.001 0.751 0.251
Ir3 0.494 0.248 0.746
Ir4 0.500 0.251 0.250
Ir5 0.500 0.750 0.749
Ir6 0.501 0.748 0.254

# 7
First-principles (PBE) data for a relaxed structure of ScH3Ir, as listed in OQMD via LeMat-Bulk.

Computed properties:
- symmetry = Pm-3m, No. 221
- calculated total energy (eV for the cell shown) = -27.22
- total magnetic moment (μB/f.u.) = 0.004

Lattice parameters (Å, degrees): 3.563 3.563 3.563 90.00 90.00 90.00
Fractional coordinates of all 5 atoms:
Sc1 0.000 0.000 0.000
H1 0.000 0.500 0.500
H2 0.500 0.000 0.500
H3 0.500 0.500 0.000
Ir1 0.500 0.500 0.500

# 8
First-principles (PBE) data for a relaxed structure of Sr2SnH6Ir, as listed in OQMD via LeMat-Bulk.

Computed properties:
- symmetry = Fm-3m, No. 225
- calculated total energy (eV for the cell shown) = -39.69
- total magnetic moment (μB/f.u.) = 0.002

Lattice parameters (Å, degrees): 5.747 5.747 5.747 60.00 60.00 60.00
Fractional coordinates of all 10 atoms:
Sr1 0.250 0.250 0.250
Sr2 0.750 0.750 0.750
Sn1 0.000 0.000 0.000
H1 0.289 0.289 0.711
H2 0.289 0.711 0.289
H3 0.289 0.711 0.711
H4 0.711 0.289 0.289
H5 0.711 0.289 0.711
H6 0.711 0.711 0.289
Ir1 0.500 0.500 0.500

# 9
First-principles (PBE) data for a relaxed structure of SrH3Ir, as listed in OQMD via LeMat-Bulk.

Computed properties:
- symmetry = P4/mmm, No. 123
- calculated total energy (eV for the cell shown) = -22.89
- total magnetic moment (μB/f.u.) = 0.000

Lattice parameters (Å, degrees): 3.767 3.767 3.789 90.00 90.00 90.00
Fractional coordinates of all 5 atoms:
Sr1 0.000 0.000 0.000
H1 0.000 0.500 0.500
H2 0.500 0.000 0.500
H3 0.500 0.500 0.000
Ir1 0.500 0.500 0.500

# 10
First-principles (PBE) data for a relaxed structure of Sr2TlH6Ir, as listed in OQMD via LeMat-Bulk.

Computed properties:
- symmetry = Fm-3m, No. 225
- calculated total energy (eV for the cell shown) = -38.18
- total magnetic moment (μB/f.u.) = 0.001

Lattice parameters (Å, degrees): 5.752 5.752 5.752 60.00 60.00 60.00
Fractional coordinates of all 10 atoms:
Sr1 0.250 0.250 0.250
Sr2 0.750 0.750 0.750
Tl1 0.000 0.000 0.000
H1 0.289 0.289 0.711
H2 0.289 0.711 0.289
H3 0.289 0.711 0.711
H4 0.711 0.289 0.289
H5 0.711 0.289 0.711
H6 0.711 0.711 0.289
Ir1 0.500 0.500 0.500

# 11
First-principles (PBE) data for a relaxed structure of Y2ZnH6Ir, as listed in OQMD via LeMat-Bulk.

Computed properties:
- symmetry = Fm-3m, No. 225
- calculated total energy (eV for the cell shown) = -46.04
- total magnetic moment (μB/f.u.) = 0.699

Lattice parameters (Å, degrees): 5.252 5.252 5.252 60.00 60.00 60.00
Fractional coordinates of all 10 atoms:
Y1 0.250 0.250 0.250
Y2 0.750 0.750 0.750
Zn1 0.000 0.000 0.000
H1 0.265 0.265 0.735
H2 0.265 0.735 0.265
H3 0.265 0.735 0.735
H4 0.735 0.265 0.265
H5 0.735 0.265 0.735
H6 0.735 0.735 0.265
Ir1 0.500 0.500 0.500

# 12
First-principles (PBE) data for a relaxed structure of K2LiTcH6, as listed in OQMD via LeMat-Bulk.

Computed properties:
- symmetry = I4/m, No. 87
- calculated total energy (eV for the cell shown) = -35.39
- total magnetic moment (μB/f.u.) = 2.000

Lattice parameters (Å, degrees): 5.575 5.575 5.575 120.27 120.27 89.53
Fractional coordinates of all 10 atoms:
K1 0.250 0.750 0.500
K2 0.750 0.250 0.500
Li1 0.000 0.000 0.000
Tc1 0.500 0.500 0.000
H1 0.265 0.724 0.989
H2 0.272 0.272 0.000
H3 0.276 0.265 0.541
H4 0.724 0.735 0.459
H5 0.728 0.728 0.000
H6 0.735 0.276 0.011

- Which value of calculated total energy does entry 8 give?
  -39.69 eV for the cell shown